A plane-wave DFT calculation with PBE-GGA was carried out for TbDy2ScS4 after structural relaxation.

Computed properties:
The density of states at the Fermi level is 4.92 states/eV/f.u. The formation energy without anion corrections is -1949 meV per atom. Its space-group type is P2/m. For the theoretical density, the calculation gives 6693 kg/m³.

Unit cell a=6.703 b=3.835 c=6.714 alpha=90.00 beta=109.14 gamma=90.00
Fractional coordinates of all 8 atoms:
Tb1 0.000 0.000 0.000
Dy1 0.500 0.000 0.500
Dy2 0.500 0.500 0.000
Sc1 0.000 0.500 0.500
S1 0.240 0.000 0.739
S2 0.246 0.500 0.257
S3 0.754 0.500 0.743
S4 0.760 0.000 0.261

***

A plane-wave DFT calculation with PBE-GGA was carried out for HgSe after structural relaxation.

Computed properties:
The density of states at the Fermi level is 0.60 states/eV/f.u. The formation energy without anion corrections is -123 meV per atom. Its space-group type is I-43m. For the theoretical density, the calculation gives 5949 kg/m³.

Unit cell a=7.402 b=7.402 c=7.402 alpha=109.47 beta=109.47 gamma=109.47
Fractional coordinates of all 8 atoms:
Hg1 0.000 0.000 0.336
Hg2 0.000 0.336 0.000
Hg3 0.336 0.000 0.000
Hg4 0.664 0.664 0.664
Se1 0.000 0.000 0.684
Se2 0.000 0.684 0.000
Se3 0.316 0.316 0.316
Se4 0.684 0.000 0.000

***

A plane-wave DFT calculation with PBE-GGA was carried out for KTeAs2 after structural relaxation.

Computed properties:
The density of states at the Fermi level is 1.31 states/eV/f.u. The formation energy without anion corrections is 131 meV per atom. Its space-group type is C2/m. For the theoretical density, the calculation gives 5176 kg/m³.

Unit cell a=6.508 b=6.508 c=3.081 alpha=103.08 beta=103.08 gamma=119.44
Fractional coordinates of all 4 atoms:
K1 0.000 0.000 0.000
Te1 0.500 0.500 0.000
As1 0.000 0.500 0.000
As2 0.500 0.000 0.000

***

A plane-wave DFT calculation with PBE-GGA was carried out for Gd2YHo after structural relaxation.

Computed properties:
Its energy above the most stable polymorph in this dataset is 3 meV/atom. The density of states at the Fermi level is 7.57 states/eV/f.u. Its space-group type is P4/mmm. For the theoretical density, the calculation gives 7375 kg/m³. The formation enthalpy at 0 K comes out at 30 meV/atom.

Unit cell a=5.042 b=5.042 c=5.033 alpha=90.00 beta=90.00 gamma=90.00
Fractional coordinates of all 4 atoms:
Gd1 0.000 0.500 0.000
Gd2 0.500 0.000 0.000
Y1 0.000 0.000 0.500
Ho1 0.500 0.500 0.500

***

Values of calculated volume, in order: 20.4, 39.0, 25.4, 32.0, all in A^3/atom.
Values of E_tot, in order: -6.53, -2.02, -3.25, -9.77, all in eV per atom.